DFT (GGA-PBE) results for crystalline Th4Ga12Au at its relaxed geometry.

```
Th4Ga12Au
1.0
7.266 0.000 -2.569
-3.633 6.293 -2.569
0.000 0.000 7.707
Ga Th Au
12 4 1
Direct
0.250 0.500 0.750
0.750 0.500 0.250
0.309 0.000 0.309
0.750 0.250 0.500
0.250 0.750 0.500
0.691 0.000 0.691
0.309 0.309 0.000
0.000 0.309 0.309
0.000 0.691 0.691
0.500 0.750 0.250
0.500 0.250 0.750
0.691 0.691 0.000
0.000 0.000 0.500
0.500 0.500 0.500
0.000 0.500 0.000
0.500 0.000 0.000
0.000 0.000 0.000
```

Summary:
The energy comes out at -78.0 eV for the cell shown. For the formation energy, the calculation gives -8.8 eV/f.u.